Below is VSbPd2 after structural relaxation, with properties calculated at the PBE-GGA level.

Geometry as POSCAR:
```
VSbPd2
1.0
-1.976 1.976 9.268
1.976 -1.976 9.268
1.976 1.976 -9.268
V Sb Pd
2 2 4
Cartesian
0.000 0.000 0.000 V
0.000 1.976 4.634 V
1.976 0.000 4.634 Sb
0.000 0.000 9.268 Sb
2.963 0.966 -2.317 Pd
0.966 0.988 2.317 Pd
-0.988 1.010 6.951 Pd
1.010 0.988 11.585 Pd
```

Results
Symmetry: I-42d (122)
Energy relative to the elements, uncorrected in eV/atom: 0.018